A plane-wave DFT calculation with PBE was carried out for a relaxed structure of Er15TmSc4.

POSCAR file:
```
Er15TmSc4
1.0
-0.654 3.905 2.868
-4.737 0.093 -1.208
-5.092 -14.682 18.835
Er Tm Sc
15 1 4
direct
0.500 0.500 0.000
0.500 0.500 0.202
0.500 0.500 0.400
0.500 0.500 0.600
0.500 0.500 0.798
0.500 0.000 0.102
0.500 0.000 0.301
0.500 0.000 0.500
0.500 0.000 0.699
0.500 0.000 0.898
0.000 0.500 0.102
0.000 0.500 0.301
0.000 0.500 0.500
0.000 0.500 0.699
0.000 0.500 0.898
0.000 0.000 0.000
0.000 0.000 0.201
0.000 0.000 0.400
0.000 0.000 0.600
0.000 0.000 0.799
```

Calculated values
- space-group type = P4/mmm
- energy of formation (eV per formula unit) = 0.79
- uncorrected energy (eV per atom) = -4.873

=====

A plane-wave DFT calculation with PBE was carried out for a relaxed structure of MgScPdPt.

POSCAR file:
```
MgScPdPt
1.0
-2.374 3.920 0.206
-2.067 1.227 3.907
1.615 3.534 2.438
Sc Mg Pd Pt
1 1 1 1
direct
0.250 0.250 0.250
0.750 0.750 0.750
0.500 0.500 0.500
0.000 0.000 0.000
```

Calculated values
- space-group type = F-43m
- energy of formation (eV per formula unit) = -3.93
- uncorrected energy (eV per atom) = -5.774

=====

A plane-wave DFT calculation with PBE was carried out for a relaxed structure of NaLaTb.

POSCAR file:
```
NaLaTb
1.0
-0.038 -1.968 3.024
1.416 -2.789 -1.798
15.156 5.335 3.662
La Tb Na
2 2 2
direct
0.000 0.500 0.587
0.500 0.000 0.413
0.500 0.000 0.741
0.000 0.500 0.259
0.000 0.500 0.911
0.500 0.000 0.089
```

Calculated values
- space-group type = P4/nmm
- energy relative to the lowest polymorph listed for this composition (eV per formula unit) = 0.00
- energy of formation (eV per formula unit) = 0.32
- uncorrected energy (eV per atom) = -3.520

=====

A plane-wave DFT calculation with PBE was carried out for a relaxed structure of Zr2ScBi2N2.

POSCAR file:
```
Zr2ScBi2N2
1.0
-1.451 3.720 1.061
-3.868 -1.412 -0.338
2.768 -3.226 7.052
Zr Sc Bi N
2 1 2 2
direct
0.408 0.408 0.815
0.592 0.592 0.185
0.000 0.000 0.000
0.197 0.197 0.395
0.803 0.803 0.605
0.000 0.500 0.000
0.500 0.000 0.000
```

Calculated values
- space-group type = I4/mmm
- formation energy (no corrections) (eV/atom) = -0.72
- uncorrected energy (eV per atom) = -7.558